(1)
Pr12Ho6Er | PBE | optimized geometry

```
Pr12Ho6Er
1.0
6.112 3.528 5.132
-6.112 3.528 5.132
0.000 -7.057 5.132
Pr Ho Er
12 6 1
Direct
0.036 0.283 0.933
0.067 0.964 0.717
0.136 0.308 0.481
0.283 0.933 0.036
0.308 0.481 0.136
0.481 0.136 0.308
0.519 0.864 0.692
0.692 0.519 0.864
0.717 0.067 0.964
0.864 0.692 0.519
0.933 0.036 0.283
0.964 0.717 0.067
0.206 0.600 0.759
0.241 0.794 0.400
0.400 0.241 0.794
0.600 0.759 0.206
0.759 0.206 0.600
0.794 0.400 0.241
0.500 0.500 0.500
```

Energy relative to the elements ... 0.13 eV/atom
Energy above the most stable polymorph in this dataset ... 0.000 eV/atom
Symmetry ... R-3

---

(2)
Pr5Ho6Er | PBE | optimized geometry

```
Pr5Ho6Er
1.0
6.200 0.000 0.000
-0.006 7.242 0.000
-0.135 -3.610 8.829
Pr Ho Er
5 6 1
Direct
0.000 0.000 0.000
0.330 0.335 0.670
0.335 0.833 0.666
0.665 0.167 0.334
0.670 0.665 0.330
0.167 0.416 0.331
0.167 0.915 0.331
0.500 0.252 0.000
0.500 0.748 0.000
0.833 0.085 0.669
0.833 0.584 0.669
0.000 0.500 0.000
```

Energy relative to the elements ... 0.02 eV/atom
Symmetry ... P-1

---

(3)
Pr3Ho2Er6 | PBE | optimized geometry

```
Pr3Ho2Er6
1.0
-2.374 2.374 16.598
2.374 -2.374 16.598
2.374 2.374 -16.598
Pr Ho Er
3 2 6
Direct
0.000 0.000 0.000
0.205 0.205 0.000
0.795 0.795 0.000
0.454 0.454 0.000
0.546 0.546 0.000
0.120 0.620 0.500
0.309 0.309 0.000
0.380 0.880 0.500
0.620 0.120 0.500
0.691 0.691 0.000
0.880 0.380 0.500
```

Energy relative to the elements ... 0.27 eV/atom
Energy above the most stable polymorph in this dataset ... 0.110 eV/atom
Symmetry ... I4/mmm

---

(4)
Pr3Ho2Er6 | PBE | optimized geometry

```
Pr3Ho2Er6
1.0
2.853 -6.054 0.000
2.853 6.054 0.000
-0.015 0.000 10.402
Pr Ho Er
3 2 6
Direct
0.000 0.000 0.000
0.294 0.706 0.000
0.706 0.294 0.000
0.368 0.632 0.500
0.632 0.368 0.500
0.149 0.849 0.305
0.151 0.851 0.695
0.499 0.499 0.214
0.501 0.501 0.786
0.849 0.149 0.305
0.851 0.151 0.695
```

Energy relative to the elements ... 0.16 eV/atom
Energy above the most stable polymorph in this dataset ... 0.000 eV/atom
Symmetry ... C2/m

---

(5)
Pr3HoEr4 | PBE | optimized geometry

```
Pr3HoEr4
1.0
3.486 0.000 0.000
0.000 11.697 0.000
0.000 0.000 13.035
Pr Ho Er
6 2 8
Direct
0.000 0.000 0.000
0.000 0.500 0.243
0.000 0.500 0.757
0.500 0.000 0.257
0.500 0.000 0.743
0.500 0.500 0.500
0.000 0.000 0.500
0.500 0.500 0.000
0.000 0.245 0.365
0.000 0.245 0.635
0.000 0.755 0.365
0.000 0.755 0.635
0.500 0.255 0.135
0.500 0.255 0.865
0.500 0.745 0.135
0.500 0.745 0.865
```

Energy relative to the elements ... 0.14 eV/atom
Energy above the most stable polymorph in this dataset ... 0.112 eV/atom
Symmetry ... Immm

---

(6)
Pr4Ho5Er | PBE | optimized geometry

```
Pr4Ho5Er
1.0
8.585 -1.768 0.000
8.585 1.768 0.000
-0.010 0.000 11.339
Pr Ho Er
4 5 1
Direct
0.032 0.032 0.250
0.341 0.341 0.250
0.659 0.659 0.750
0.968 0.968 0.750
0.173 0.173 0.048
0.173 0.173 0.451
0.500 0.500 0.500
0.827 0.827 0.549
0.827 0.827 0.952
0.500 0.500 0.000
```

Energy relative to the elements ... 0.19 eV/atom
Energy above the most stable polymorph in this dataset ... 0.000 eV/atom
Symmetry ... C2/m

---

(7)
Pr6Ho2Er | PBE | optimized geometry

```
Pr6Ho2Er
1.0
4.741 -8.916 0.000
4.741 8.916 0.000
0.000 0.000 3.683
Pr Ho Er
6 2 1
Direct
0.009 0.341 0.000
0.185 0.185 0.500
0.341 0.009 0.000
0.659 0.991 0.000
0.815 0.815 0.500
0.991 0.659 0.000
0.325 0.675 0.500
0.675 0.325 0.500
0.500 0.500 0.000
```

Energy relative to the elements ... 0.13 eV/atom
Energy above the most stable polymorph in this dataset ... 0.047 eV/atom
Symmetry ... Cmmm

---

(8)
Pr3Ho4Er4 | PBE | optimized geometry

```
Pr3Ho4Er4
1.0
10.605 0.000 0.000
0.000 2.852 6.010
0.000 -2.852 6.010
Pr Ho Er
3 4 4
Direct
0.000 0.000 0.000
0.292 0.153 0.153
0.708 0.153 0.153
0.000 0.701 0.701
0.216 0.496 0.496
0.500 0.635 0.635
0.784 0.496 0.496
0.000 0.302 0.302
0.295 0.848 0.848
0.500 0.362 0.362
0.705 0.848 0.848
```

Energy relative to the elements ... 0.16 eV/atom
Energy above the most stable polymorph in this dataset ... 0.138 eV/atom
Symmetry ... Amm2

---

Number 4 is which compound? Pr3Ho2Er6